## CuSiAg2Te4 (GGA-PBE)

Data for a geometry-optimized CuSiAg2Te4 structure.

Unit cell a=6.2717 b=6.2717 c=12.0223 alpha=90.00 beta=90.00 gamma=90.00
Closest atoms and distances in Å follow each position.
Space group I-4 (No. 82)
Inequivalent atoms, fractional coordinates:
Cu  0.0000  0.0000  0.0000 (multiplicity 2)  4 Te 2.58
Si  0.0000  0.5000  0.2500 (multiplicity 2)  4 Te 2.57
Ag  0.0000  0.0000  0.5000 (multiplicity 2)  4 Te 2.77
Ag  0.0000  0.5000  0.7500 (multiplicity 2)  4 Te 2.81
Te  0.2207  0.2527  0.1241 (multiplicity 8)  1 Si 2.57, 1 Cu 2.58, 2 Ag 2.77-2.81

Values from the calculation:
Formation energy from raw total energies ... -0.077 eV per atom